No. 1
ScPbCl2 after structural relaxation, computed with GGA-PBE.

```
ScPbCl2
1.0
6.702 0.000 0.000
0.000 6.702 0.000
0.000 0.000 12.062
Sc Pb Cl
4 4 8
Direct
0.000 0.000 0.000 Sc
0.000 0.500 0.250 Sc
0.500 0.000 0.750 Sc
0.500 0.500 0.500 Sc
0.000 0.000 0.500 Pb
0.000 0.500 0.750 Pb
0.500 0.000 0.250 Pb
0.500 0.500 0.000 Pb
0.134 0.250 0.125 Cl
0.250 0.634 0.375 Cl
0.250 0.866 0.875 Cl
0.366 0.250 0.625 Cl
0.634 0.750 0.625 Cl
0.750 0.134 0.875 Cl
0.750 0.366 0.375 Cl
0.866 0.750 0.125 Cl
```

Properties
**Excess energy over the best structure of this formula in the dataset**: 569 meV/atom
**Space-group type**: I-42d
**ρ**: 3.96 g cm⁻³
**Uncorrected formation energy**: -0.707 eV per atom

No. 2
ScPbCl2 after structural relaxation, computed with GGA-PBE.

```
ScPbCl2
1.0
4.549 0.000 0.000
0.000 4.549 0.000
0.000 0.000 9.068
Sc Pb Cl
2 2 4
Direct
0.000 0.000 0.000 Sc
0.500 0.500 0.500 Sc
0.000 0.000 0.500 Pb
0.500 0.500 0.000 Pb
0.000 0.500 0.250 Cl
0.000 0.500 0.750 Cl
0.500 0.000 0.250 Cl
0.500 0.000 0.750 Cl
```

Properties
**Excess energy over the best structure of this formula in the dataset**: 627 meV/atom
**Space-group type**: I4/mmm
**ρ**: 5.72 g cm⁻³
**Uncorrected formation energy**: -0.649 eV per atom

No. 3
Sc2PbCl after structural relaxation, computed with GGA-PBE.

```
Sc2PbCl
1.0
3.392 0.000 0.000
-1.696 2.938 0.000
0.000 0.000 32.703
Sc Pb Cl
6 3 3
Direct
0.000 0.000 0.000 Sc
0.000 0.000 0.255 Sc
0.333 0.667 0.667 Sc
0.333 0.667 0.922 Sc
0.667 0.333 0.333 Sc
0.667 0.333 0.589 Sc
0.000 0.000 0.505 Pb
0.333 0.667 0.172 Pb
0.667 0.333 0.838 Pb
0.000 0.000 0.718 Cl
0.333 0.667 0.385 Cl
0.667 0.333 0.052 Cl
```

Properties
**Excess energy over the best structure of this formula in the dataset**: 103 meV/atom
**Space-group type**: R3m
**ρ**: 5.08 g cm⁻³
**Uncorrected formation energy**: -0.694 eV per atom

No. 4
ScPb2Cl after structural relaxation, computed with GGA-PBE.

```
ScPb2Cl
1.0
3.411 0.000 0.000
0.000 4.515 0.000
0.000 0.000 16.037
Sc Pb Cl
2 4 2
Direct
0.000 0.000 0.000 Sc
0.500 0.500 0.500 Sc
0.000 0.000 0.424 Pb
0.000 0.500 0.291 Pb
0.500 0.000 0.791 Pb
0.500 0.500 0.924 Pb
0.000 0.500 0.616 Cl
0.500 0.000 0.116 Cl
```

Properties
**Excess energy over the best structure of this formula in the dataset**: 0 meV/atom
**Space-group type**: Imm2
**ρ**: 6.65 g cm⁻³
**Uncorrected formation energy**: -0.676 eV per atom